[1]
VASP calculation (PBE) on a relaxed structure of Rb2SrHfS4.

The structure in POSCAR format:
```
Rb2SrHfS4
1.0
-4.051 4.499 6.079
4.051 -4.499 6.079
4.051 4.499 -6.079
Rb Sr Hf S
4 2 2 8
Cartesian
0.000 0.000 0.000 Rb
-2.026 2.249 3.039 Rb
0.000 4.499 0.000 Rb
2.026 2.249 3.039 Rb
4.051 0.000 0.000 Sr
0.000 0.000 6.079 Sr
2.026 2.249 -3.039 Hf
2.026 -2.249 3.039 Hf
4.051 -0.512 2.979 S
4.051 3.987 -2.979 S
2.154 2.249 -0.489 S
5.949 2.249 -0.489 S
-1.898 2.249 6.567 S
1.898 2.249 6.567 S
0.000 0.512 9.058 S
0.000 5.011 3.100 S
```

Values from the calculation:
DFT total energy: -42.53 eV/f.u.
Formation energy (no corrections): -1556 meV per atom


[2]
VASP calculation (PBE) on a relaxed structure of Th3S.

The structure in POSCAR format:
```
Th3S
1.0
-2.336 2.336 4.965
2.336 -2.336 4.965
2.336 2.336 -4.965
Th S
3 1
Cartesian
0.000 0.000 0.000 Th
2.336 0.000 2.482 Th
0.000 2.336 2.482 Th
0.000 0.000 4.965 S
```

Values from the calculation:
DFT total energy: -27.06 eV/f.u.
Formation energy (no corrections): -167 meV per atom


[3]
VASP calculation (PBE) on a relaxed structure of AgSe2BrN.

The structure in POSCAR format:
```
AgSe2BrN
1.0
5.266 0.000 0.000
0.000 5.266 0.000
0.000 0.000 4.103
Ag Se Br N
1 2 1 1
Cartesian
0.000 0.000 0.000 Ag
0.000 2.633 0.000 Se
2.633 0.000 0.000 Se
2.633 2.633 2.051 Br
0.000 0.000 2.051 N
```

Values from the calculation:
DFT total energy: -13.37 eV/f.u.
Formation energy (no corrections): 1289 meV per atom


[4]
VASP calculation (PBE) on a relaxed structure of Y4GaRu3.

The structure in POSCAR format:
```
Y4GaRu3
1.0
4.874 0.000 0.000
0.000 4.874 0.000
0.000 0.000 6.962
Y Ga Ru
4 1 3
Cartesian
0.000 2.437 1.678 Y
0.000 2.437 5.284 Y
2.437 0.000 1.678 Y
2.437 0.000 5.284 Y
0.000 0.000 3.481 Ga
0.000 0.000 0.000 Ru
2.437 2.437 0.000 Ru
2.437 2.437 3.481 Ru
```

Values from the calculation:
DFT total energy: -59.83 eV/f.u.
Calculated formation energy: -0.390 eV per atom


[5]
VASP calculation (PBE) on a relaxed structure of TbY7Er4.

The structure in POSCAR format:
```
TbY7Er4
1.0
6.013 -2.922 0.000
6.013 2.922 0.000
-5.921 0.000 11.226
Tb Y Er
1 7 4
Cartesian
0.000 0.000 0.000 Tb
-1.168 0.000 3.598 Y
-2.925 0.000 10.366 Y
1.440 0.000 5.599 Y
6.013 0.000 0.000 Y
4.665 0.000 5.627 Y
9.030 0.000 0.860 Y
7.273 0.000 7.628 Y
-1.092 0.000 7.656 Er
3.008 0.000 2.530 Er
3.097 0.000 8.696 Er
7.197 0.000 3.570 Er
```

Values from the calculation:
DFT total energy: -64.51 eV/f.u.
Calculated formation energy: 0.301 eV per atom


[6]
VASP calculation (PBE) on a relaxed structure of Na2VReN4.

The structure in POSCAR format:
```
Na2VReN4
1.0
5.848 0.000 0.000
0.000 6.548 0.000
0.000 0.000 6.037
Na V Re N
4 2 2 8
Cartesian
1.462 0.004 1.417 Na
1.462 3.270 1.417 Na
4.386 3.278 4.620 Na
4.386 6.544 4.620 Na
1.462 4.911 4.142 V
4.386 1.637 1.895 V
1.462 1.637 4.128 Re
4.386 4.911 1.909 Re
5.845 1.637 2.991 N
0.003 4.911 3.047 N
1.462 0.009 5.064 N
1.462 3.265 5.064 N
2.927 1.637 2.991 N
2.921 4.911 3.047 N
4.386 3.283 0.974 N
4.386 6.538 0.974 N
```

Values from the calculation:
DFT total energy: -60.80 eV/f.u.
Formation energy (no corrections): -412 meV per atom


[7]
VASP calculation (PBE) on a relaxed structure of Pr12GaCu6.

The structure in POSCAR format:
```
Pr12GaCu6
1.0
-5.110 5.110 5.110
5.110 -5.110 5.110
5.110 5.110 -5.110
Pr Ga Cu
12 1 6
Cartesian
5.110 -2.093 3.200 Pr
3.018 1.910 0.000 Pr
7.203 1.910 0.000 Pr
3.200 5.110 -2.093 Pr
1.910 0.000 3.018 Pr
0.000 3.018 1.910 Pr
5.110 2.093 3.200 Pr
3.200 5.110 2.093 Pr
1.910 0.000 7.203 Pr
-2.093 3.200 5.110 Pr
2.093 3.200 5.110 Pr
0.000 7.203 1.910 Pr
0.000 0.000 0.000 Ga
5.110 0.000 1.239 Cu
5.110 3.871 0.000 Cu
1.239 5.110 0.000 Cu
3.871 0.000 5.110 Cu
0.000 1.239 5.110 Cu
0.000 5.110 3.871 Cu
```

Values from the calculation:
DFT total energy: -86.87 eV/f.u.
Calculated formation energy: -0.100 eV per atom


[8]
VASP calculation (PBE) on a relaxed structure of SrLi2AlS4.

The structure in POSCAR format:
```
SrLi2AlS4
1.0
-3.311 3.311 3.861
3.311 -3.311 3.861
3.311 3.311 -3.861
Sr Li Al S
1 2 1 4
Cartesian
0.000 0.000 0.000 Sr
3.311 0.000 1.930 Li
0.000 3.311 1.930 Li
0.000 0.000 3.861 Al
1.331 -1.331 2.617 S
1.980 1.980 1.244 S
-1.331 1.331 2.617 S
1.331 1.331 5.105 S
```

Values from the calculation:
DFT total energy: -36.02 eV/f.u.
Formation energy (no corrections): -1282 meV per atom


[9]
VASP calculation (PBE) on a relaxed structure of Ba3VCo.

The structure in POSCAR format:
```
Ba3VCo
1.0
5.852 0.000 0.000
0.000 5.852 0.000
0.000 0.000 5.852
Ba V Co
3 1 1
Cartesian
0.000 0.000 2.926 Ba
0.000 2.926 0.000 Ba
2.926 0.000 0.000 Ba
2.926 2.926 2.926 V
0.000 0.000 0.000 Co
```

Values from the calculation:
DFT total energy: -18.15 eV/f.u.
Calculated formation energy: 0.768 eV per atom


[10]
VASP calculation (PBE) on a relaxed structure of VCrSn.

The structure in POSCAR format:
```
VCrSn
1.0
4.692 0.000 0.000
-2.064 4.292 0.000
-1.354 -2.079 4.613
V Cr Sn
2 2 2
Cartesian
-1.218 1.506 1.141 V
2.492 0.706 3.472 V
-0.172 -0.539 3.539 Cr
1.446 2.751 1.074 Cr
1.136 -0.011 1.179 Sn
0.138 2.224 3.434 Sn
```

Values from the calculation:
DFT total energy: -22.25 eV/f.u.
Calculated formation energy: 0.164 eV per atom


[11]
VASP calculation (PBE) on a relaxed structure of NaTcBi3.

The structure in POSCAR format:
```
NaTcBi3
1.0
5.429 0.000 0.000
0.000 5.429 0.000
0.000 0.000 5.429
Na Tc Bi
1 1 3
Cartesian
0.000 0.000 0.000 Na
2.715 2.715 2.715 Tc
0.000 0.000 2.715 Bi
0.000 2.715 0.000 Bi
2.715 0.000 0.000 Bi
```

Values from the calculation:
DFT total energy: -16.68 eV/f.u.
Calculated formation energy: 1.329 eV per atom


[12]
VASP calculation (PBE) on a relaxed structure of YSc3Br.

The structure in POSCAR format:
```
YSc3Br
1.0
5.467 0.000 0.000
0.000 5.467 0.000
0.000 0.000 5.467
Y Sc Br
1 3 1
Cartesian
0.000 0.000 0.000 Y
0.000 0.000 2.734 Sc
0.000 2.734 0.000 Sc
2.734 0.000 0.000 Sc
2.734 2.734 2.734 Br
```

Values from the calculation:
DFT total energy: -22.60 eV/f.u.
Formation energy (no corrections): 907 meV per atom


Please write out number 4 again, unchanged.
VASP calculation (PBE) on a relaxed structure of Y4GaRu3.

The structure in POSCAR format:
```
Y4GaRu3
1.0
4.874 0.000 0.000
0.000 4.874 0.000
0.000 0.000 6.962
Y Ga Ru
4 1 3
Cartesian
0.000 2.437 1.678 Y
0.000 2.437 5.284 Y
2.437 0.000 1.678 Y
2.437 0.000 5.284 Y
0.000 0.000 3.481 Ga
0.000 0.000 0.000 Ru
2.437 2.437 0.000 Ru
2.437 2.437 3.481 Ru
```

Values from the calculation:
DFT total energy: -59.83 eV/f.u.
Calculated formation energy: -0.390 eV per atom


Question: What is the DFT total energy in the fourth record?
Answer: -59.83 eV/f.u.